Below is crystalline Tb2YCd at its relaxed geometry, with properties calculated at the GGA-PBE level.

The structure in POSCAR format:
```
Tb2YCd
1.0
-0.197 -2.646 -2.447
3.604 -0.126 -0.154
0.069 -6.156 6.651
Y Cd Tb
1 1 2
Cartesian
1.738 -4.464 2.025 Y
1.704 -1.386 -1.300 Cd
0.053 -4.766 5.150 Tb
0.016 -1.390 1.502 Tb
```

Results
**Energy relative to the elements**: -0.144 eV per atom
**Theoretical density**: 7.30 g cm⁻³